1.
## Sm3ScCd2 (PBE)

Data for Sm3ScCd2 after structural relaxation.

Properties
volume	28.32	A^3/atom
total energy	-3.895	eV/atom
energy of formation from the pure elements	-1.0	eV per formula unit
spin magnetization	0.65	Bohr magnetons per cell

a b c (Å): 3.734 3.734 12.187
angles (deg): 90.00 90.00 90.00
Last column: magnetic moment on the atom in μB.
Sites, in units of the cell vectors:
Sm: 0.000 0.000 0.000  0.17
Sm: 0.000 0.000 0.675  0.04
Sm: 0.000 0.000 0.325  0.04
Sc: 0.500 0.500 0.500  0.07
Cd: 0.500 0.500 0.835  0.01
Cd: 0.500 0.500 0.165  0.01

---

2.
## SmSc2Cd (PBE)

Data for SmSc2Cd after structural relaxation.

Properties
volume	26.30	A^3/atom
total energy	-4.588	eV/atom
energy of formation from the pure elements	-0.1	eV per formula unit
energy above the most stable polymorph in this dataset	100	meV/atom
spin magnetization	0.01	Bohr magnetons per cell

a b c (Å): 3.426 3.426 10.539
angles (deg): 80.65 80.65 60.00
Sites, in units of the cell vectors:
Sm: 0.500 0.500 0.499
Sc: 0.076 0.076 0.771
Sc: 0.257 0.257 0.229
Cd: 0.666 0.666 0.001

---

3.
## SmSc2Cd8 (PBE)

Data for SmSc2Cd8 after structural relaxation.

Properties
volume	23.13	A^3/atom
total energy	-2.447	eV/atom
energy of formation from the pure elements	-2.2	eV per formula unit
spin magnetization	0.00	Bohr magnetons per cell

a b c (Å): 5.262 6.181 8.795
angles (deg): 110.15 106.92 91.33
Sites, in units of the cell vectors:
Sm: 0.500 0.000 0.000
Sc: 0.687 0.687 0.375
Sc: 0.313 0.313 0.625
Cd: 0.126 0.370 0.270
Cd: 0.856 0.100 0.730
Cd: 0.748 0.512 0.000
Cd: 0.703 0.203 0.405
Cd: 0.297 0.797 0.595
Cd: 0.252 0.488 0.000
Cd: 0.144 0.900 0.270
Cd: 0.874 0.630 0.730

---

4.
## SmSc2Cd (PBE)

Data for SmSc2Cd after structural relaxation.

Properties
volume	25.09	A^3/atom
total energy	-4.545	eV/atom
energy of formation from the pure elements	0.1	eV per formula unit
energy above the most stable polymorph in this dataset	143	meV/atom
spin magnetization	1.85	Bohr magnetons per cell

a b c (Å): 5.216 5.216 5.216
angles (deg): 60.00 60.00 60.00
Last column: magnetic moment on the atom in μB.
Sites, in units of the cell vectors:
Sc: 0.250 0.250 0.250  0.37
Sc: 0.750 0.750 0.750  0.37
Sm: 0.500 0.500 0.500  0.43
Cd: 0.000 0.000 0.000  0.00

---

5.
## SmScCdSn (PBE)

Data for SmScCdSn after structural relaxation.

Properties
volume	24.97	A^3/atom
total energy	-4.457	eV/atom
energy of formation from the pure elements	-1.9	eV per formula unit
spin magnetization	0.00	Bohr magnetons per cell

a b c (Å): 5.208 5.208 5.208
angles (deg): 60.00 60.00 60.00
Sites, in units of the cell vectors:
Sc: 0.000 0.000 0.000
Sn: 0.250 0.250 0.250
Sm: 0.500 0.500 0.500
Cd: 0.750 0.750 0.750

---

6.
## TbSmScCd (PBE)

Data for TbSmScCd after structural relaxation.

Properties
volume	27.58	A^3/atom
total energy	-4.202	eV/atom
energy of formation from the pure elements	-0.2	eV per formula unit
energy above the most stable polymorph in this dataset	0	meV/atom
spin magnetization	0.00	Bohr magnetons per cell

a b c (Å): 5.383 5.383 5.383
angles (deg): 60.00 60.00 60.00
Sites, in units of the cell vectors:
Sc: 0.250 0.250 0.250
Tb: 0.500 0.500 0.500
Sm: 0.000 0.000 0.000
Cd: 0.750 0.750 0.750

---

7.
## TbSmScCd (PBE)

Data for TbSmScCd after structural relaxation.

Properties
volume	28.15	A^3/atom
total energy	-4.173	eV/atom
energy of formation from the pure elements	-0.1	eV per formula unit
energy above the most stable polymorph in this dataset	29	meV/atom
spin magnetization	0.50	Bohr magnetons per cell

a b c (Å): 3.386 3.431 9.840
angles (deg): 90.00 99.91 90.00
Last column: magnetic moment on the atom in μB.
Sites, in units of the cell vectors:
Tb: 0.278 0.430 0.556  0.11
Sm: 0.440 0.930 0.879  0.12
Sc: 0.656 0.930 0.312  0.09
Cd: 0.057 0.430 0.114  0.00

---

8.
## SmScCdTc (PBE)

Data for SmScCdTc after structural relaxation.

Properties
volume	21.57	A^3/atom
total energy	-5.650	eV/atom
energy of formation from the pure elements	-0.3	eV per formula unit
spin magnetization	0.00	Bohr magnetons per cell

a b c (Å): 4.960 4.960 4.960
angles (deg): 60.00 60.00 60.00
Sites, in units of the cell vectors:
Sc: 0.750 0.750 0.750
Tc: 0.000 0.000 0.000
Sm: 0.250 0.250 0.250
Cd: 0.500 0.500 0.500